1.
Ba2Tl3ZnIn4: relaxed, PBE.

Computed properties:
- Calculated volume: 31.3 Å³/atom
- Total magnetization: 0.0 μB/cell
- Symmetry: P-4m2, No. 115
- Energy relative to the elements: -0.260 eV per atom
- Fermi-level density of states: 2.1 states/eV per cell

Cell lengths 5.0205, 5.0205, 12.4256 Å; angles 90.00, 90.00, 90.00 degrees
With the nearest neighbours (Å) after each atom.
Sites, in units of the cell vectors:
Ba 0.0000 0.5000 0.2398  8 In 3.84-4.09, 6 Tl 3.84-3.90, 2 Zn 3.90
Ba 0.5000 0.0000 0.7602  8 In 3.84-4.09, 6 Tl 3.84-3.90, 2 Zn 3.90
Tl 0.0000 0.0000 0.0000  4 In 2.93
Tl 0.0000 0.5000 0.6426  5 In 2.92-3.07
Tl 0.5000 0.0000 0.3574  5 In 2.92-3.07
Zn 0.5000 0.5000 0.0000  4 In 2.93
In 0.0000 0.0000 0.5000  4 Tl 3.07
In 0.0000 0.5000 0.8778  3 Tl 2.92-2.93, 2 Zn 2.93
In 0.5000 0.0000 0.1222  3 Tl 2.92-2.93, 2 Zn 2.93
In 0.5000 0.5000 0.5000  4 Tl 3.07



2.
BeTcIO2: relaxed, PBE.

Computed properties:
- Calculated volume: 17.9 Å³/atom
- Total magnetization: 0.0 μB/cell
- Symmetry: P4/mmm, No. 123
- Fermi-level density of states: 2.1 states/eV per cell

Cell lengths 3.7860, 3.7860, 6.2388 Å; angles 90.00, 90.00, 90.00 degrees
With the nearest neighbours (Å) after each atom.
Sites, in units of the cell vectors:
Be 0.0000 0.0000 0.0000  4 I 2.68
Tc 0.5000 0.5000 0.5000  4 O 1.89
I 0.5000 0.5000 0.0000  4 Be 2.68
O 0.0000 0.5000 0.5000  2 Tc 1.89
O 0.5000 0.0000 0.5000  2 Tc 1.89



3.
KFeP2: relaxed, PBE.

Computed properties:
- Calculated volume: 23.1 Å³/atom
- Total magnetization: 4.0 μB/cell
- Symmetry: I4_1/amd, No. 141
- Energy relative to the elements: -0.219 eV per atom
- Fermi-level density of states: 4.5 states/eV per cell

Cell lengths 5.3057, 5.3057, 13.1509 Å; angles 90.00, 90.00, 90.00 degrees
With the nearest neighbours (Å) after each atom.
Sites, in units of the cell vectors:
K 0.0000 0.2500 0.3750  8 P 3.39, 4 Fe 3.75
K 0.0000 0.7500 0.6250  8 P 3.39, 4 Fe 3.75
K 0.5000 0.2500 0.1250  8 P 3.39, 4 Fe 3.75
K 0.5000 0.7500 0.8750  8 P 3.39, 4 Fe 3.75
Fe 0.0000 0.2500 0.8750  4 P 2.11
Fe 0.0000 0.7500 0.1250  4 P 2.11
Fe 0.5000 0.2500 0.6250  4 P 2.11
Fe 0.5000 0.7500 0.3750  4 P 2.11
P 0.0000 0.0000 0.0000  2 Fe 2.11
P 0.0000 0.5000 0.0000  2 Fe 2.11
P 0.2500 0.2500 0.7500  2 Fe 2.11
P 0.2500 0.7500 0.2500  2 Fe 2.11
P 0.5000 0.0000 0.5000  2 Fe 2.11
P 0.5000 0.5000 0.5000  2 Fe 2.11
P 0.7500 0.2500 0.7500  2 Fe 2.11
P 0.7500 0.7500 0.2500  2 Fe 2.11



4.
HfCdSN2: relaxed, PBE.

Computed properties:
- Calculated volume: 17.9 Å³/atom
- Total magnetization: 0.4 μB/cell
- Symmetry: P4/mmm, No. 123
- Fermi-level density of states: 2.7 states/eV per cell

Cell lengths 4.0732, 4.0732, 5.3917 Å; angles 90.00, 90.00, 90.00 degrees
With the nearest neighbours (Å) after each atom.
Sites, in units of the cell vectors:
Hf 0.0000 0.0000 0.0000  4 N 2.04
Cd 0.5000 0.5000 0.5000  4 S 2.88
S 0.0000 0.0000 0.5000  2 Hf 2.70, 4 Cd 2.88
N 0.0000 0.5000 0.0000  2 Hf 2.04
N 0.5000 0.0000 0.0000  2 Hf 2.04



5.
ScNi3P2: relaxed, PBE.

Computed properties:
- Calculated volume: 12.8 Å³/atom
- Total magnetization: 0.0 μB/cell
- Symmetry: C2/m, No. 12
- Energy relative to the elements: -0.893 eV per atom
- Fermi-level density of states: 9.6 states/eV per cell

Cell lengths 7.6026, 7.6026, 8.9825 Å; angles 106.36, 106.36, 27.54 degrees
With the nearest neighbours (Å) after each atom.
Sites, in units of the cell vectors:
Sc 0.0000 0.0000 0.0000  6 P 2.79-2.84, 6 Ni 2.83-2.88
Sc 0.1529 0.1529 0.6987  6 P 2.76-2.89, 7 Ni 2.81-3.04
Sc 0.8472 0.8472 0.3013  6 P 2.76-2.89, 7 Ni 2.81-3.04
Ni 0.0421 0.0421 0.3338  4 P 2.26-2.37, 1 Ni 2.51
Ni 0.2191 0.2191 0.3914  4 P 2.15-2.33
Ni 0.3213 0.3213 0.0326  4 P 2.23-2.31, 1 Ni 2.48
Ni 0.3762 0.3762 0.7968  4 P 2.22-2.41, 1 Ni 2.48
Ni 0.5000 0.5000 0.5000  2 P 2.19
Ni 0.6238 0.6238 0.2032  4 P 2.22-2.41, 1 Ni 2.48
Ni 0.6787 0.6787 0.9674  4 P 2.23-2.31, 1 Ni 2.48
Ni 0.7809 0.7809 0.6086  4 P 2.15-2.33
Ni 0.9579 0.9579 0.6662  4 P 2.26-2.37, 1 Ni 2.51
P 0.1996 0.1996 0.1342  6 Ni 2.24-2.31
P 0.3615 0.3615 0.5434  7 Ni 2.15-2.37
P 0.4625 0.4625 0.2117  5 Ni 2.23-2.49
P 0.5375 0.5375 0.7883  5 Ni 2.23-2.49
P 0.6385 0.6385 0.4566  7 Ni 2.15-2.37
P 0.8004 0.8004 0.8658  6 Ni 2.24-2.31



6.
TbNdYZr: relaxed, PBE.

Computed properties:
- Calculated volume: 30.2 Å³/atom
- Total magnetization: 6.7 μB/cell
- Symmetry: F-43m, No. 216
- Energy relative to the elements: 0.232 eV per atom
- Fermi-level density of states: 31.7 states/eV per cell

Cell lengths 7.8488, 7.8488, 7.8488 Å; angles 90.00, 90.00, 90.00 degrees
With the nearest neighbours (Å) after each atom.
Sites, in units of the cell vectors:
Tb 0.0000 0.0000 0.0000  4 Nd 3.40, 4 Zr 3.40
Tb 0.0000 0.5000 0.5000  4 Zr 3.40, 4 Nd 3.40
Tb 0.5000 0.0000 0.5000  4 Zr 3.40, 4 Nd 3.40
Tb 0.5000 0.5000 0.0000  4 Zr 3.40, 4 Nd 3.40
Nd 0.2500 0.2500 0.2500  4 Tb 3.40, 4 Y 3.40
Nd 0.2500 0.7500 0.7500  4 Tb 3.40, 4 Y 3.40
Nd 0.7500 0.2500 0.7500  4 Tb 3.40, 4 Y 3.40
Nd 0.7500 0.7500 0.2500  4 Tb 3.40, 4 Y 3.40
Y 0.0000 0.0000 0.5000  4 Zr 3.40, 4 Nd 3.40
Y 0.0000 0.5000 0.0000  4 Zr 3.40, 4 Nd 3.40
Y 0.5000 0.0000 0.0000  4 Zr 3.40, 4 Nd 3.40
Y 0.5000 0.5000 0.5000  4 Zr 3.40, 4 Nd 3.40
Zr 0.2500 0.2500 0.7500  4 Tb 3.40, 4 Y 3.40
Zr 0.2500 0.7500 0.2500  4 Tb 3.40, 4 Y 3.40
Zr 0.7500 0.2500 0.2500  4 Tb 3.40, 4 Y 3.40
Zr 0.7500 0.7500 0.7500  4 Tb 3.40, 4 Y 3.40



7.
BeAl2W: relaxed, PBE.

Computed properties:
- Calculated volume: 14.2 Å³/atom
- Total magnetization: 0.0 μB/cell
- Symmetry: P4/mmm, No. 123
- Energy relative to the elements: 0.188 eV per atom
- Fermi-level density of states: 2.8 states/eV per cell

Cell lengths 2.6883, 2.6883, 7.8349 Å; angles 90.00, 90.00, 90.00 degrees
With the nearest neighbours (Å) after each atom.
Sites, in units of the cell vectors:
Be 0.0000 0.0000 0.0000  8 Al 2.60, 4 Be 2.69
Al 0.5000 0.5000 0.2273  4 Be 2.60, 4 Al 2.69, 4 W 2.86
Al 0.5000 0.5000 0.7727  4 Be 2.60, 4 Al 2.69, 4 W 2.86
W 0.0000 0.0000 0.5000  4 W 2.69, 8 Al 2.86



8.
CdSi2W: relaxed, PBE.

Computed properties:
- Calculated volume: 16.3 Å³/atom
- Total magnetization: 0.0 μB/cell
- Symmetry: P4mm, No. 99
- Fermi-level density of states: 1.1 states/eV per cell

Cell lengths 3.3407, 3.3407, 5.8544 Å; angles 90.00, 90.00, 90.00 degrees
With the nearest neighbours (Å) after each atom.
Sites, in units of the cell vectors:
Cd 0.0000 0.0000 0.0000  6 Si 2.82-2.94, 4 W 3.04
Si 0.0000 0.0000 0.5015  4 W 2.56, 4 Si 2.75
Si 0.5000 0.5000 0.2624  1 W 2.40
W 0.5000 0.5000 0.6722  5 Si 2.40-2.56



9.
MnCuCSeN: relaxed, PBE.

Computed properties:
- Calculated volume: 16.5 Å³/atom
- Total magnetization: 2.9 μB/cell
- Symmetry: P1, No. 1
- Fermi-level density of states: 2.1 states/eV per cell

Cell lengths 3.9713, 4.5945, 5.0302 Å; angles 84.35, 89.90, 64.48 degrees
With the nearest neighbours (Å) after each atom.
Sites, in units of the cell vectors:
Mn 0.0000 0.0000 0.0000  1 N 1.88, 1 C 1.96
Cu 0.4284 0.1436 0.6531  2 C 2.10
C 0.0038 0.9924 0.6119  1 N 1.22
Se 0.3046 0.3917 0.0527  1 Cu 2.36, 3 Mn 2.51-2.60
N 0.0210 0.9557 0.3751  1 C 1.22



10.
MgTe2HN: relaxed, PBE.

Computed properties:
- Calculated volume: 17.1 Å³/atom
- Total magnetization: 0.0 μB/cell
- Symmetry: P4/mmm, No. 123
- Fermi-level density of states: 3.1 states/eV per cell

Cell lengths 5.3694, 5.3694, 2.9678 Å; angles 90.00, 90.00, 90.00 degrees
With the nearest neighbours (Å) after each atom.
Sites, in units of the cell vectors:
Mg 0.0000 0.0000 0.0000  2 Mg 2.97, 8 Te 3.07
Te 0.0000 0.5000 0.5000  2 H 2.68, 2 Te 2.97
Te 0.5000 0.0000 0.5000  2 H 2.68, 2 Te 2.97
H 0.5000 0.5000 0.5000  2 N 1.48
N 0.5000 0.5000 0.0000  2 H 1.48



11.
Be3HgN: relaxed, PBE.

Computed properties:
- Calculated volume: 18.0 Å³/atom
- Total magnetization: 2.8 μB/cell
- Symmetry: Pm-3m, No. 221
- Fermi-level density of states: 1.3 states/eV per cell

Cell lengths 4.4841, 4.4841, 4.4841 Å; angles 90.00, 90.00, 90.00 degrees
With the nearest neighbours (Å) after each atom.
Sites, in units of the cell vectors:
Be 0.0000 0.0000 0.5000  2 Hg 2.24
Be 0.0000 0.5000 0.0000  2 Hg 2.24
Be 0.5000 0.0000 0.0000  2 Hg 2.24
Hg 0.0000 0.0000 0.0000  6 Be 2.24
N 0.5000 0.5000 0.5000  12 Be 3.17



12.
Tm3Zn2Hg2: relaxed, PBE.

Computed properties:
- Calculated volume: 22.6 Å³/atom
- Total magnetization: 0.0 μB/cell
- Symmetry: Cmmm, No. 65
- Energy relative to the elements: -0.382 eV per atom
- Fermi-level density of states: 10.3 states/eV per cell

Cell lengths 4.2455, 21.2584, 3.5074 Å; angles 90.00, 90.00, 90.00 degrees
With the nearest neighbours (Å) after each atom.
Sites, in units of the cell vectors:
Tm 0.0000 0.0000 0.0000  8 Hg 3.26, 4 Tm 3.48-3.51
Tm 0.0000 0.1635 0.0000  6 Zn 3.00-3.04, 4 Hg 3.25
Tm 0.0000 0.8365 0.0000  6 Zn 3.00-3.04, 4 Hg 3.25
Tm 0.5000 0.3365 0.0000  6 Zn 3.00-3.04, 4 Hg 3.25
Tm 0.5000 0.5000 0.0000  8 Hg 3.26, 4 Tm 3.48-3.51
Tm 0.5000 0.6635 0.0000  6 Zn 3.00-3.04, 4 Hg 3.25
Zn 0.0000 0.2804 0.5000  2 Zn 2.49
Zn 0.0000 0.7196 0.5000  2 Zn 2.49
Zn 0.5000 0.2196 0.5000  2 Zn 2.49
Zn 0.5000 0.7804 0.5000  2 Zn 2.49
Hg 0.0000 0.4180 0.5000  1 Zn 2.93, 8 Tm 3.25-3.26
Hg 0.0000 0.5820 0.5000  1 Zn 2.93, 8 Tm 3.25-3.26
Hg 0.5000 0.0820 0.5000  1 Zn 2.93, 8 Tm 3.25-3.26
Hg 0.5000 0.9180 0.5000  1 Zn 2.93, 8 Tm 3.25-3.26



E / Ry/atom: -0.1894 -0.3978 -0.3905 -0.4589 -0.4882 -0.4315 -0.4302 -0.4318 -0.4905 -0.2325 -0.1570 -0.2020